[1]
VASP calculation (PBE) on an optimized crystal structure of Sr2CdHPd.

It has space group P4/mmm (No. 123), with a = 5.156 Å, b = 5.156 Å, c = 4.350 Å, α = 90.00°, β = 90.00° and γ = 90.00°. The distinct sites, in fractional coordinates, are Sr at (0.000, 0.500, 0.000), Cd at (0.000, 0.000, 0.500), H at (0.000, 0.000, 0.000) and Pd at (0.500, 0.500, 0.500).

As for the offset from the most stable computed form: 101 meV/atom. As for the calculated density: 5.7 Mg/m³. As for the crystal system: tetragonal. For the electronic total energy, the calculation gives -14.461 eV per cell.

***

[2]
VASP calculation (PBE) on an optimized crystal structure of CdTcHPd2.

It has space group P4/mmm (No. 123), with a = 4.149 Å, b = 4.149 Å, c = 3.967 Å, α = 90.00°, β = 90.00° and γ = 90.00°. The distinct sites, in fractional coordinates, are Cd at (0.000, 0.000, 0.000), Tc at (0.500, 0.500, 0.000), H at (0.500, 0.500, 0.500) and Pd at (0.000, 0.500, 0.500).

As for the calculated density: 10.3 Mg/m³. As for the crystal system: tetragonal. For the electronic total energy, the calculation gives -24.287 eV per cell.

***

[3]
VASP calculation (PBE) on an optimized crystal structure of Cd2TeHPd6.

It has space group P-1 (No. 2), with a = 5.671 Å, b = 5.753 Å, c = 6.370 Å, α = 72.15°, β = 68.59° and γ = 60.69°. The distinct sites, in fractional coordinates, are Cd at (0.188, 0.315, 0.277), Te at (0.500, 0.500, 0.500), H at (0.000, 0.000, 0.000), Pd at (0.115, 0.862, 0.298), Pd at (0.277, 0.678, 0.887) and Pd at (0.306, 0.171, 0.839).

As for the calculated density: 9.9 Mg/m³. As for the crystal system: triclinic. For the electronic total energy, the calculation gives -41.771 eV per cell.

***

[4]
VASP calculation (PBE) on an optimized crystal structure of CdTeHPd2.

It has space group P4/mmm (No. 123), with a = 4.300 Å, b = 4.300 Å, c = 4.296 Å, α = 90.00°, β = 90.00° and γ = 90.00°. The distinct sites, in fractional coordinates, are Cd at (0.000, 0.000, 0.000), Te at (0.500, 0.500, 0.000), H at (0.000, 0.000, 0.500) and Pd at (0.000, 0.500, 0.500).

As for the calculated density: 9.5 Mg/m³. As for the crystal system: tetragonal. For the electronic total energy, the calculation gives -18.040 eV per cell.

***

[5]
VASP calculation (PBE) on an optimized crystal structure of CdTe2HPd.

It has space group P4/mmm (No. 123), with a = 5.462 Å, b = 5.462 Å, c = 3.414 Å, α = 90.00°, β = 90.00° and γ = 90.00°. The distinct sites, in fractional coordinates, are Cd at (0.000, 0.000, 0.000), Te at (0.000, 0.500, 0.500), H at (0.500, 0.500, 0.500) and Pd at (0.500, 0.500, 0.000).

As for the calculated density: 7.7 Mg/m³. As for the crystal system: tetragonal. For the electronic total energy, the calculation gives -14.686 eV per cell.

***

[6]
VASP calculation (PBE) on an optimized crystal structure of Ti2CdHPd.

It has space group P4/mmm (No. 123), with a = 4.086 Å, b = 4.086 Å, c = 4.181 Å, α = 90.00°, β = 90.00° and γ = 90.00°. The distinct sites, in fractional coordinates, are Ti at (0.000, 0.500, 0.000), Cd at (0.000, 0.000, 0.500), H at (0.500, 0.500, 0.000) and Pd at (0.500, 0.500, 0.500).

As for the offset from the most stable computed form: 0 meV/atom. As for the calculated density: 7.5 Mg/m³. As for the crystal system: tetragonal. For the electronic total energy, the calculation gives -26.533 eV per cell.

***

[7]
VASP calculation (PBE) on an optimized crystal structure of Ti2CdHPd.

It has space group P4/mmm (No. 123), with a = 3.955 Å, b = 3.955 Å, c = 4.474 Å, α = 90.00°, β = 90.00° and γ = 90.00°. The distinct sites, in fractional coordinates, are Ti at (0.000, 0.500, 0.000), Cd at (0.000, 0.000, 0.500), H at (0.000, 0.000, 0.000) and Pd at (0.500, 0.500, 0.500).

As for the offset from the most stable computed form: 36 meV/atom. As for the calculated density: 7.5 Mg/m³. As for the crystal system: tetragonal. For the electronic total energy, the calculation gives -26.353 eV per cell.

***

[8]
VASP calculation (PBE) on an optimized crystal structure of TiCdHPd2.

It has space group P4/mmm (No. 123), with a = 4.124 Å, b = 4.124 Å, c = 4.078 Å, α = 90.00°, β = 90.00° and γ = 90.00°. The distinct sites, in fractional coordinates, are Ti at (0.000, 0.000, 0.000), Cd at (0.500, 0.500, 0.000), H at (0.000, 0.000, 0.500) and Pd at (0.000, 0.500, 0.500).

As for the calculated density: 9.0 Mg/m³. As for the crystal system: tetragonal. For the electronic total energy, the calculation gives -23.688 eV per cell.

***

[9]
VASP calculation (PBE) on an optimized crystal structure of TlCdHPd2.

It has space group P4/mmm (No. 123), with a = 4.219 Å, b = 4.219 Å, c = 4.309 Å, α = 90.00°, β = 90.00° and γ = 90.00°. The distinct sites, in fractional coordinates, are Tl at (0.000, 0.000, 0.000), Cd at (0.500, 0.500, 0.000), H at (0.500, 0.500, 0.500) and Pd at (0.000, 0.500, 0.500).

As for the offset from the most stable computed form: 0 meV/atom. As for the calculated density: 11.5 Mg/m³. As for the crystal system: tetragonal. For the electronic total energy, the calculation gives -17.170 eV per cell.

***

[10]
VASP calculation (PBE) on an optimized crystal structure of TlCd2HPd.

It has space group P4/mmm (No. 123), with a = 5.502 Å, b = 5.502 Å, c = 3.409 Å, α = 90.00°, β = 90.00° and γ = 90.00°. The distinct sites, in fractional coordinates, are Tl at (0.000, 0.000, 0.000), Cd at (0.000, 0.500, 0.500), H at (0.500, 0.500, 0.000) and Pd at (0.500, 0.500, 0.500).

As for the offset from the most stable computed form: 7 meV/atom. As for the calculated density: 8.6 Mg/m³. As for the crystal system: tetragonal. For the electronic total energy, the calculation gives -12.539 eV per cell.

***

[11]
VASP calculation (PBE) on an optimized crystal structure of TlCd2HPd.

It has space group P4/mmm (No. 123), with a = 5.249 Å, b = 5.249 Å, c = 3.361 Å, α = 90.00°, β = 90.00° and γ = 90.00°. The distinct sites, in fractional coordinates, are Tl at (0.000, 0.000, 0.000), Cd at (0.000, 0.500, 0.500), H at (0.500, 0.500, 0.500) and Pd at (0.500, 0.500, 0.000).

As for the offset from the most stable computed form: 0 meV/atom. As for the calculated density: 9.6 Mg/m³. As for the crystal system: tetragonal. For the electronic total energy, the calculation gives -12.576 eV per cell.

***

[12]
VASP calculation (PBE) on an optimized crystal structure of TlCdHPd2.

It has space group P4/mmm (No. 123), with a = 4.119 Å, b = 4.119 Å, c = 4.654 Å, α = 90.00°, β = 90.00° and γ = 90.00°. The distinct sites, in fractional coordinates, are Tl at (0.000, 0.000, 0.000), Cd at (0.500, 0.500, 0.000), H at (0.000, 0.000, 0.500) and Pd at (0.000, 0.500, 0.500).

As for the offset from the most stable computed form: 48 meV/atom. As for the calculated density: 11.2 Mg/m³. As for the crystal system: tetragonal. For the electronic total energy, the calculation gives -16.931 eV per cell.

***

[13]
VASP calculation (PBE) on an optimized crystal structure of Tl3CdH2Pd9.

It has space group P-3m1 (No. 164), with a = 5.7308 Å, b = 5.7308 Å, c = 9.0960 Å, α = 90.00°, β = 90.00° and γ = 120.00°. The distinct sites, in fractional coordinates, are Tl at (0.0000, 0.0000, 0.0000), Tl at (0.3333, 0.6667, 0.7076), Cd at (0.0000, 0.0000, 0.5000), H at (0.3333, 0.6667, 0.1316), Pd at (0.0000, 0.5000, 0.0000) and Pd at (0.1673, 0.3345, 0.2580).

As for the calculated density: 10.8 Mg/m³. As for the crystal system: trigonal. For the electronic total energy, the calculation gives -63.903 eV per cell.

***

[14]
VASP calculation (PBE) on an optimized crystal structure of Y2CdHPd.

It has space group P4/mmm (No. 123), with a = 5.108 Å, b = 5.108 Å, c = 3.750 Å, α = 90.00°, β = 90.00° and γ = 90.00°. The distinct sites, in fractional coordinates, are Y at (0.000, 0.500, 0.000), Cd at (0.000, 0.000, 0.500), H at (0.500, 0.500, 0.000) and Pd at (0.500, 0.500, 0.500).

As for the offset from the most stable computed form: 0 meV/atom. As for the calculated density: 6.7 Mg/m³. As for the crystal system: tetragonal. For the electronic total energy, the calculation gives -25.093 eV per cell.

***

[15]
VASP calculation (PBE) on an optimized crystal structure of Y2CdHPd.

It has space group P4/mmm (No. 123), with a = 4.832 Å, b = 4.832 Å, c = 4.134 Å, α = 90.00°, β = 90.00° and γ = 90.00°. The distinct sites, in fractional coordinates, are Y at (0.000, 0.500, 0.000), Cd at (0.000, 0.000, 0.500), H at (0.000, 0.000, 0.000) and Pd at (0.500, 0.500, 0.500).

As for the offset from the most stable computed form: 114 meV/atom. As for the calculated density: 6.8 Mg/m³. As for the crystal system: tetragonal. For the electronic total energy, the calculation gives -24.521 eV per cell.

***

[16]
VASP calculation (PBE) on an optimized crystal structure of ZrCdHPd2.

It has space group P4/mmm (No. 123), with a = 4.503 Å, b = 4.503 Å, c = 3.778 Å, α = 90.00°, β = 90.00° and γ = 90.00°. The distinct sites, in fractional coordinates, are Zr at (0.000, 0.000, 0.000), Cd at (0.500, 0.500, 0.000), H at (0.000, 0.000, 0.500) and Pd at (0.000, 0.500, 0.500).

As for the calculated density: 9.0 Mg/m³. As for the crystal system: tetragonal. For the electronic total energy, the calculation gives -24.603 eV per cell.

***

[17]
VASP calculation (PBE) on an optimized crystal structure of Pm3Cd5H12.

It has space group Ia-3d (No. 230), with a = 12.891 Å, b = 12.891 Å, c = 12.891 Å, α = 90.00°, β = 90.00° and γ = 90.00°. The distinct sites, in fractional coordinates, are Pm at (0.000, 0.250, 0.125), Cd at (0.000, 0.000, 0.000), Cd at (0.000, 0.250, 0.375) and H at (0.020, 0.075, 0.670).

As for the calculated density: 6.3 Mg/m³. As for the crystal system: cubic. For the electronic total energy, the calculation gives -478.682 eV per cell.

***

[18]
VASP calculation (PBE) on an optimized crystal structure of PmCdH.

It has space group I4mm (No. 107), with a = 3.254 Å, b = 3.254 Å, c = 11.760 Å, α = 90.00°, β = 90.00° and γ = 90.00°. The distinct sites, in fractional coordinates, are Pm at (0.000, 0.000, 0.000), Cd at (0.000, 0.000, 0.284) and H at (0.000, 0.000, 0.543).

As for the offset from the most stable computed form: 336 meV/atom. As for the calculated density: 6.9 Mg/m³. As for the crystal system: tetragonal. For the electronic total energy, the calculation gives -18.706 eV per cell.

***

[19]
VASP calculation (PBE) on an optimized crystal structure of Pm4Cd2H.

It has space group I4/mmm (No. 139), with a = 4.866 Å, b = 4.866 Å, c = 16.041 Å, α = 90.00°, β = 90.00° and γ = 90.00°. The distinct sites, in fractional coordinates, are Pm at (0.000, 0.000, 0.179), Pm at (0.000, 0.500, 0.000), Cd at (0.000, 0.000, 0.368) and H at (0.000, 0.000, 0.000).

As for the calculated density: 7.0 Mg/m³. As for the crystal system: tetragonal. For the electronic total energy, the calculation gives -51.053 eV per cell.

***

[20]
VASP calculation (PBE) on an optimized crystal structure of Pm2CdH.

It has space group R3m (No. 160, hexagonal axes), with a = 3.6782 Å, b = 3.6782 Å, c = 24.0274 Å, α = 90.00°, β = 90.00° and γ = 120.00°. The distinct sites, in fractional coordinates, are Pm at (0.0000, 0.0000, 0.0000), Pm at (0.0000, 0.0000, 0.2159), Cd at (0.0000, 0.0000, 0.4404) and H at (0.0000, 0.0000, 0.6074).

As for the offset from the most stable computed form: 8 meV/atom. As for the calculated density: 7.1 Mg/m³. As for the crystal system: trigonal. For the electronic total energy, the calculation gives -44.105 eV per cell.

***

[21]
VASP calculation (PBE) on an optimized crystal structure of Pm2CdH.

It has space group R-3m (No. 166, hexagonal axes), with a = 3.6799 Å, b = 3.6799 Å, c = 24.0475 Å, α = 90.00°, β = 90.00° and γ = 120.00°. The distinct sites, in fractional coordinates, are Pm at (0.0000, 0.0000, 0.2259), Cd at (0.0000, 0.0000, 0.0000) and H at (0.0000, 0.0000, 0.5000).

As for the offset from the most stable computed form: 0 meV/atom. As for the calculated density: 7.1 Mg/m³. As for the crystal system: trigonal. For the electronic total energy, the calculation gives -44.206 eV per cell.

***

[22]
VASP calculation (PBE) on an optimized crystal structure of PmCdH.

It has space group P-6m2 (No. 187), with a = 3.8527 Å, b = 3.8527 Å, c = 5.0565 Å, α = 90.00°, β = 90.00° and γ = 120.00°. The distinct sites, in fractional coordinates, are Pm at (0.0000, 0.0000, 0.0000), Cd at (0.3333, 0.6667, 0.5000) and H at (0.6667, 0.3333, 0.0000).

As for the offset from the most stable computed form: 200 meV/atom. As for the calculated density: 6.6 Mg/m³. As for the crystal system: hexagonal. For the electronic total energy, the calculation gives -9.762 eV per cell.

***

[23]
VASP calculation (PBE) on an optimized crystal structure of Pm3CdH.

It has space group Pm-3m (No. 221), with a = 4.981 Å, b = 4.981 Å, c = 4.981 Å, α = 90.00°, β = 90.00° and γ = 90.00°. The distinct sites, in fractional coordinates, are Pm at (0.000, 0.000, 0.500), Cd at (0.500, 0.500, 0.500) and H at (0.000, 0.000, 0.000).

As for the calculated density: 7.4 Mg/m³. As for the crystal system: cubic. For the electronic total energy, the calculation gives -19.686 eV per cell.

***

Computed N(E_F), in the same sequence as the records: 2.189 4.964 3.041 1.222 2.912 5.391 4.356 5.724 2.138 2.448 0.848 1.002 3.181 2.114 2.644 3.510 5.562 2.503 6.118 3.278 3.389 2.845 7.987 states/eV/f.u..